Ti5Zn4Ir | PBE | relaxed

Values from the calculation:
Crystal system: tetragonal
Space group: P4/mmm (123)
Energy of formation from the pure elements, eV/atom: -0.3203
Spin magnetization, μB/f.u.: 0.000

Lattice parameters (Å, degrees): 3.159 3.159 15.487 90.00 90.00 90.00
Element x y z (fractional)
Zn (0.000, 0.000, 0.199)
Ti (0.500, 0.500, 0.299)
Ti (0.500, 0.500, 0.701)
Zn (0.000, 0.000, 0.400)
Ti (0.500, 0.500, 0.903)
Zn (0.000, 0.000, 0.600)
Ti (0.500, 0.500, 0.500)
Ir (0.000, 0.000, 0.000)
Ti (0.500, 0.500, 0.097)
Zn (0.000, 0.000, 0.801)